1.
Here is BaTl2CdPt at its PBEsol-relaxed geometry from Alexandria via LeMat-Bulk. Energies are from meta-GGA SCAN.

The structure in CIF format:
```
data_BaTl2CdPt
_chemical_formula_sum 'Ba1 Tl2 Cd1 Pt1'
_cell_length_a 5.9131
_cell_length_b 6.1365
_cell_length_c 6.1365
_cell_angle_alpha 90.00
_cell_angle_beta 90.00
_cell_angle_gamma 90.00
_symmetry_space_group_name_H-M 'P 1'
_symmetry_Int_Tables_number 1
_symmetry_space_group_name_Hall 'P 1'
loop_
_atom_site_label
_atom_site_type_symbol
_atom_site_fract_x
_atom_site_fract_y
_atom_site_fract_z
Tl1 Tl 0.0000 0.0000 0.5000
Tl2 Tl 0.0000 0.5000 0.0000
Ba1 Ba 0.0000 0.0000 0.0000
Pt1 Pt 0.5000 0.5000 0.5000
Cd1 Cd 0.5000 0.0000 0.0000
```

Properties
- Total energy: -277.94 eV/cell



2.
Here is BaCdRe at its PBEsol-relaxed geometry from Alexandria via LeMat-Bulk. Energies are from meta-GGA SCAN.

The structure in CIF format:
```
data_BaCdRe
_chemical_formula_sum 'Ba1 Cd1 Re1'
_cell_length_a 5.0042
_cell_length_b 5.0042
_cell_length_c 5.0042
_cell_angle_alpha 60.00
_cell_angle_beta 60.00
_cell_angle_gamma 60.00
_symmetry_space_group_name_H-M 'P 1'
_symmetry_Int_Tables_number 1
_symmetry_space_group_name_Hall 'P 1'
loop_
_atom_site_label
_atom_site_type_symbol
_atom_site_fract_x
_atom_site_fract_y
_atom_site_fract_z
Re1 Re 0.0000 0.0000 0.0000
Ba1 Ba 0.5000 0.5000 0.5000
Cd1 Cd 0.2500 0.2500 0.2500
```

Properties
- Total energy: -136.73 eV/cell



3.
Here is Ba2TiCdRe at its PBEsol-relaxed geometry from Alexandria via LeMat-Bulk. Energies are from meta-GGA SCAN.

The structure in CIF format:
```
data_Ba2TiCdRe
_chemical_formula_sum 'Ba2 Ti1 Cd1 Re1'
_cell_length_a 5.1409
_cell_length_b 5.7637
_cell_length_c 5.7637
_cell_angle_alpha 90.00
_cell_angle_beta 90.00
_cell_angle_gamma 90.00
_symmetry_space_group_name_H-M 'P 1'
_symmetry_Int_Tables_number 1
_symmetry_space_group_name_Hall 'P 1'
loop_
_atom_site_label
_atom_site_type_symbol
_atom_site_fract_x
_atom_site_fract_y
_atom_site_fract_z
Re1 Re 0.5000 0.5000 0.5000
Ti1 Ti 0.0000 0.0000 0.0000
Ba1 Ba 0.0000 0.0000 0.5000
Ba2 Ba 0.0000 0.5000 0.0000
Cd1 Cd 0.5000 0.0000 0.0000
```

Properties
- Total energy: -188.25 eV/cell



4.
Here is Ba2CdRh at its PBEsol-relaxed geometry from Alexandria via LeMat-Bulk. Energies are from meta-GGA SCAN.

The structure in CIF format:
```
data_Ba2CdRh
_chemical_formula_sum 'Ba2 Cd1 Rh1'
_cell_length_a 4.6546
_cell_length_b 4.6054
_cell_length_c 6.4334
_cell_angle_alpha 90.00
_cell_angle_beta 111.21
_cell_angle_gamma 90.00
_symmetry_space_group_name_H-M 'P 1'
_symmetry_Int_Tables_number 1
_symmetry_space_group_name_Hall 'P 1'
loop_
_atom_site_label
_atom_site_type_symbol
_atom_site_fract_x
_atom_site_fract_y
_atom_site_fract_z
Rh1 Rh 0.6897 0.5000 0.3794
Ba1 Ba 0.1118 0.0000 0.2235
Ba2 Ba 0.3943 0.5000 0.7886
Cd1 Cd 0.8122 0.0000 0.6243
```

Properties
- Total energy: -144.26 eV/cell



5.
Here is BaCd3Rh at its PBEsol-relaxed geometry from Alexandria via LeMat-Bulk. Energies are from meta-GGA SCAN.

The structure in CIF format:
```
data_BaCd3Rh
_chemical_formula_sum 'Ba1 Cd3 Rh1'
_cell_length_a 4.9148
_cell_length_b 5.1753
_cell_length_c 5.1753
_cell_angle_alpha 94.52
_cell_angle_beta 90.00
_cell_angle_gamma 90.00
_symmetry_space_group_name_H-M 'P 1'
_symmetry_Int_Tables_number 1
_symmetry_space_group_name_Hall 'P 1'
loop_
_atom_site_label
_atom_site_type_symbol
_atom_site_fract_x
_atom_site_fract_y
_atom_site_fract_z
Rh1 Rh 0.5000 0.7936 0.7936
Ba1 Ba 0.0000 0.4432 0.4432
Cd1 Cd 0.5000 0.3059 0.8991
Cd2 Cd 0.5000 0.8991 0.3059
Cd3 Cd 0.0000 0.9301 0.9301
```

Properties
- Total energy: -166.02 eV/cell



6.
Here is BaCdRh2 at its PBEsol-relaxed geometry from Alexandria via LeMat-Bulk. Energies are from meta-GGA SCAN.

The structure in CIF format:
```
data_BaCdRh2
_chemical_formula_sum 'Ba1 Cd1 Rh2'
_cell_length_a 4.8724
_cell_length_b 4.8724
_cell_length_c 4.8724
_cell_angle_alpha 60.00
_cell_angle_beta 60.00
_cell_angle_gamma 60.00
_symmetry_space_group_name_H-M 'P 1'
_symmetry_Int_Tables_number 1
_symmetry_space_group_name_Hall 'P 1'
loop_
_atom_site_label
_atom_site_type_symbol
_atom_site_fract_x
_atom_site_fract_y
_atom_site_fract_z
Ba1 Ba 0.5000 0.5000 0.5000
Cd1 Cd 0.2500 0.2500 0.2500
Rh1 Rh 0.0000 0.0000 0.0000
Rh2 Rh 0.7500 0.7500 0.7500
```

Properties
- Total energy: -135.76 eV/cell



7.
Here is Ba2CdRh at its PBEsol-relaxed geometry from Alexandria via LeMat-Bulk. Energies are from meta-GGA SCAN.

The structure in CIF format:
```
data_Ba2CdRh
_chemical_formula_sum 'Ba2 Cd1 Rh1'
_cell_length_a 3.8326
_cell_length_b 5.3817
_cell_length_c 6.6044
_cell_angle_alpha 114.02
_cell_angle_beta 106.87
_cell_angle_gamma 90.00
_symmetry_space_group_name_H-M 'P 1'
_symmetry_Int_Tables_number 1
_symmetry_space_group_name_Hall 'P 1'
loop_
_atom_site_label
_atom_site_type_symbol
_atom_site_fract_x
_atom_site_fract_y
_atom_site_fract_z
Ba1 Ba 0.9535 0.9531 0.9070
Ba2 Ba 0.7591 0.2589 0.5181
Cd1 Cd 0.5598 0.5594 0.1196
Rh1 Rh 0.2276 0.7286 0.4553
```

Properties
- Total energy: -143.82 eV/cell



8.
Here is Ba2CdRh at its PBEsol-relaxed geometry from Alexandria via LeMat-Bulk. Energies are from meta-GGA SCAN.

The structure in CIF format:
```
data_Ba2CdRh
_chemical_formula_sum 'Ba4 Cd2 Rh2'
_cell_length_a 5.2578
_cell_length_b 8.2252
_cell_length_c 8.2252
_cell_angle_alpha 84.14
_cell_angle_beta 71.36
_cell_angle_gamma 71.36
_symmetry_space_group_name_H-M 'P 1'
_symmetry_Int_Tables_number 1
_symmetry_space_group_name_Hall 'P 1'
loop_
_atom_site_label
_atom_site_type_symbol
_atom_site_fract_x
_atom_site_fract_y
_atom_site_fract_z
Rh1 Rh 0.5000 0.0000 0.0000
Rh2 Rh 0.2500 0.5000 0.5000
Ba1 Ba 0.8750 0.8349 0.6651
Ba2 Ba 0.3750 0.1651 0.3349
Ba3 Ba 0.4599 0.6651 0.1651
Ba4 Ba 0.2901 0.3349 0.8349
Cd1 Cd 0.0000 0.0000 0.0000
Cd2 Cd 0.7500 0.5000 0.5000
```

Properties
- Total energy: -287.91 eV/cell



| no. | total moment (μB/f.u.) | E_form (eV/atom) |
| --- | --- | --- |
| 1 | 0.00 | 1.386 |
| 2 | 2.67 | 1.443 |
| 3 | 0.93 | 1.679 |
| 4 | 0.00 | -0.243 |
| 5 | 0.00 | -0.292 |
| 6 | 0.00 | 0.437 |
| 7 | 0.00 | -0.133 |
| 8 | 0.00 | -0.167 |